No. 1
# PBE SrPu2Cd9, optimized geometry
# V = 25.436 Å³ per atom
# calculated total energy = -0.2449 Ry/atom
data_SrPu2Cd9
_cell_length_a 5.9575
_cell_length_b 5.9575
_cell_length_c 29.7912
_cell_angle_alpha 90.00
_cell_angle_beta 90.00
_cell_angle_gamma 120.00
_symmetry_space_group_name_H-M 'R -3 m'
_symmetry_Int_Tables_number 166
_symmetry_space_group_name_Hall '-R 3 2"'
loop_
_atom_site_label
_atom_site_fract_x
_atom_site_fract_y
_atom_site_fract_z
_atom_site_occupancy
Sr1 0.0000 0.0000 0.0000 1
Pu1 0.0000 0.0000 0.1497 1
Cd1 0.0000 0.0000 0.3354 1
Cd2 0.0000 0.0000 0.5000 1
Cd3 0.0048 0.5024 0.9150 1

No. 2
# PBE Cs2LaSbCl6, optimized geometry
# V = 41.386 Å³ per atom
# ΔE_f (raw) = -1.68 eV per atom
data_Cs2LaSbCl6
_cell_length_a 7.781
_cell_length_b 7.781
_cell_length_c 13.672
_cell_angle_alpha 90.00
_cell_angle_beta 90.00
_cell_angle_gamma 90.00
_symmetry_space_group_name_H-M 'I 4/m m m'
_symmetry_Int_Tables_number 139
_symmetry_space_group_name_Hall '-I 4 2'
loop_
_atom_site_label
_atom_site_fract_x
_atom_site_fract_y
_atom_site_fract_z
_atom_site_occupancy
Cs1 0.000 0.500 0.250 1
La1 0.000 0.000 0.000 1
Sb1 0.000 0.000 0.500 1
Cl1 0.000 0.000 0.202 1
Cl2 0.248 0.248 0.500 1